No. 1
Computed, not measured: a relaxed MgZnCl2 crystal at the PBE level of DFT.

a = 3.458 Å, b = 6.832 Å, c = 10.410 Å
α = 90.00°, β = 90.00°, γ = 90.00°
Positions (direct):
1 Mg 0.000 0.000 0.000
2 Mg 0.500 0.500 0.500
3 Zn 0.000 0.000 0.500
4 Zn 0.500 0.500 0.000
5 Cl 0.000 0.500 0.340
6 Cl 0.000 0.500 0.660
7 Cl 0.500 0.000 0.160
8 Cl 0.500 0.000 0.840

Output
Its space group is Immm (71). The value obtained for the total magnetic moment is 0.00 μB/cell. The calculation puts the mass density at 2.17 Mg/m³. As for the calculated volume: 123.0 Å³/f.u. The uncorrected formation energy comes out at -0.9921 eV per atom.

No. 2
Computed, not measured: a relaxed Mg2ZnCl crystal at the PBE level of DFT.

a = 4.505 Å, b = 4.505 Å, c = 8.520 Å
α = 90.00°, β = 90.00°, γ = 90.00°
Positions (direct):
1 Mg 0.000 0.500 0.250
2 Mg 0.000 0.500 0.750
3 Mg 0.500 0.000 0.250
4 Mg 0.500 0.000 0.750
5 Zn 0.000 0.000 0.000
6 Zn 0.500 0.500 0.500
7 Cl 0.000 0.000 0.500
8 Cl 0.500 0.500 0.000

Output
Its space group is I4/mmm (139). The value obtained for the total magnetic moment is 0.00 μB/cell. The calculation puts the mass density at 2.87 Mg/m³. As for the calculated volume: 86.4 Å³/f.u. The uncorrected formation energy comes out at -0.1531 eV per atom.

Number 1: density of states at the Fermi level 0.00 states/eV/f.u.. Number 2: density of states at the Fermi level 1.87 states/eV/f.u..